Arrangement i

Crystalline PrErPdAu at its relaxed geometry. Source: Alexandria via LeMat-Bulk, functional PBE.

The structure belongs to space group F-43m (No. 216); the cell edges are 7.2357, 7.2357 and 7.2357 Å and the angles 90.00°, 90.00° and 90.00°. The inequivalent atoms are Pr at (0.0000, 0.0000, 0.0000), Er at (0.0000, 0.0000, 0.5000), Pd at (0.2500, 0.2500, 0.7500) and Au at (0.2500, 0.2500, 0.2500).

Arrangement ii

Crystalline PrErPdAu at its relaxed geometry. Source: Alexandria via LeMat-Bulk, functional PBE.

The structure belongs to space group Amm2 (No. 38); the cell edges are 4.7661, 3.8250 and 10.7448 Å and the angles 90.00°, 90.00° and 90.00°. The inequivalent atoms are Pr at (0.0000, 0.0000, 0.0000), Er at (0.5000, 0.0000, 0.7241), Pd at (0.0000, 0.0000, 0.2724) and Au at (0.5000, 0.0000, 0.4419).

Energies in meV/atom, measured from the most stable structure: arrangement i 47; arrangement ii 0.